[1]
# LiP2PbCl

A relaxed structure of LiP2PbCl (PBE-GGA, Alexandria).

a b c (Å): 5.062 4.327 5.062
angles (deg): 90.00 90.00 90.00
Sites, in units of the cell vectors:
P: 0.000 0.000 0.500
P: 0.500 0.000 0.000
Li: 0.000 0.500 0.000
Cl: 0.000 0.000 0.000
Pb: 0.500 0.500 0.500

Total moment = 0.00 Bohr magnetons per cell
ΔE to the lowest computed polymorph = 0.000 eV per atom
Mass density = 4.67 Mg/m³

***

[2]
# LiP2PbCl

A relaxed structure of LiP2PbCl (PBE-GGA, Alexandria).

a b c (Å): 4.498 4.498 7.052
angles (deg): 90.00 90.00 90.00
Sites, in units of the cell vectors:
P: 0.500 0.000 0.000
P: 0.000 0.500 0.000
Cl: 0.000 0.000 0.500
Pb: 0.500 0.500 0.500
Li: 0.000 0.000 0.000

Total moment = 0.00 Bohr magnetons per cell
ΔE to the lowest computed polymorph = 0.049 eV per atom
Mass density = 3.63 Mg/m³

***

[3]
# LiP2PbCl

A relaxed structure of LiP2PbCl (PBE-GGA, Alexandria).

a b c (Å): 5.403 5.403 5.708
angles (deg): 90.00 90.00 90.00
Site moments in Bohr magnetons follow the coordinates.
Sites, in units of the cell vectors:
P: 0.000 0.500 0.000  0.39
P: 0.500 0.000 0.000  0.39
Cl: 0.000 0.000 0.500  0.06
Pb: 0.000 0.000 0.000  -0.01
Li: 0.500 0.500 0.500  0.00

Total moment = 1.88 Bohr magnetons per cell
ΔE to the lowest computed polymorph = 0.162 eV per atom
Mass density = 3.10 Mg/m³

***

[4]
# LiPPdCl2

A relaxed structure of LiPPdCl2 (PBE-GGA, Alexandria).

a b c (Å): 5.221 5.221 4.472
angles (deg): 90.00 90.00 90.00
Site moments in Bohr magnetons follow the coordinates.
Sites, in units of the cell vectors:
Pd: 0.000 0.000 0.000  0.03
Li: 0.500 0.500 0.500  0.00
Cl: 0.000 0.500 0.000  0.03
Cl: 0.500 0.000 0.000  0.03
P: 0.000 0.000 0.500  0.20

Total moment = 0.55 Bohr magnetons per cell
ΔE to the lowest computed polymorph = 0.000 eV per atom
Mass density = 2.93 Mg/m³

***

> ΔE to the lowest computed polymorph of number 3 (LiP2PbCl)?

0.162 eV per atom

***

> Look up the total moment of the first one.

0.00 Bohr magnetons per cell